(1)
A crystal of BaMg2Bi2 relaxed with PBEsol. Source: Alexandria via LeMat-Bulk, functional SCAN.

Crystal system   trigonal
Formation energy   -693 meV per atom
Magnetization   0.00 μB/f.u.
E_tot   -42.0241 eV per atom
Space-group type   P-3m1
Distance to the lowest polymorph of the same formula   0.00 kcal/mol of atoms

Lattice parameters (Å, degrees): 4.8708 4.8708 8.2056 90.00 90.00 120.00
Closest atoms and distances in Å follow each position.
Fractional coordinates of all 5 atoms:
Ba 0.0000 0.0000 0.0000  6 Bi 3.54
Mg 0.3333 0.6667 0.6233  4 Bi 2.97
Mg 0.6667 0.3333 0.3767  4 Bi 2.97
Bi 0.3333 0.6667 0.2614  4 Mg 2.97
Bi 0.6667 0.3333 0.7386  4 Mg 2.97

***

(2)
A crystal of BaMg2Bi2 relaxed with PBEsol. Source: Alexandria via LeMat-Bulk, functional SCAN.

Crystal system   tetragonal
Formation energy   -679 meV per atom
Magnetization   0.00 μB/f.u.
E_tot   -42.0106 eV per atom
Space-group type   I4/mmm
Distance to the lowest polymorph of the same formula   0.31 kcal/mol of atoms

Lattice parameters (Å, degrees): 8.1017 8.1017 8.1017 146.78 146.78 47.69
Closest atoms and distances in Å follow each position.
Fractional coordinates of all 5 atoms:
Ba 0.0000 0.0000 0.0000  8 Bi 3.76
Mg 0.2500 0.7500 0.5000  4 Bi 2.97, 4 Mg 3.28
Mg 0.7500 0.2500 0.5000  4 Bi 2.97, 4 Mg 3.28
Bi 0.3756 0.3756 0.0000  4 Mg 2.97
Bi 0.6244 0.6244 0.0000  4 Mg 2.97

***

(3)
A crystal of BaMn3Bi relaxed with PBEsol. Source: Alexandria via LeMat-Bulk, functional SCAN.

Crystal system   cubic
Formation energy   541 meV per atom
Magnetization   10.47 μB/f.u.
E_tot   -34.0378 eV per atom
Space-group type   Pm-3m

Lattice parameters (Å, degrees): 5.1558 5.1558 5.1558 90.00 90.00 90.00
Closest atoms and distances in Å follow each position.
Fractional coordinates of all 5 atoms:
Ba 0.0000 0.0000 0.0000  12 Mn 3.65
Mn 0.0000 0.5000 0.5000  2 Bi 2.58
Mn 0.5000 0.0000 0.5000  2 Bi 2.58
Mn 0.5000 0.5000 0.0000  2 Bi 2.58
Bi 0.5000 0.5000 0.5000  6 Mn 2.58

***

(4)
A crystal of BaSr2MnBi relaxed with PBEsol. Source: Alexandria via LeMat-Bulk, functional SCAN.

Crystal system   tetragonal
Formation energy   80 meV per atom
Magnetization   2.57 μB/f.u.
E_tot   -36.1072 eV per atom
Space-group type   P4/mmm

Lattice parameters (Å, degrees): 5.6516 5.6516 5.6549 90.00 90.00 90.00
Closest atoms and distances in Å follow each position.
Fractional coordinates of all 5 atoms:
Ba 0.0000 0.0000 0.0000  2 Mn 2.83
Sr 0.0000 0.5000 0.5000  2 Mn 2.83
Sr 0.5000 0.0000 0.5000  2 Mn 2.83
Mn 0.0000 0.0000 0.5000  4 Sr 2.83, 2 Ba 2.83
Bi 0.5000 0.5000 0.0000  4 Ba 4.00, 8 Sr 4.00

***

(5)
A crystal of BaBiMo3 relaxed with PBEsol. Source: Alexandria via LeMat-Bulk, functional SCAN.

Crystal system   cubic
Formation energy   1974 meV per atom
Magnetization   5.77 μB/f.u.
E_tot   -42.5827 eV per atom
Space-group type   Pm-3m

Lattice parameters (Å, degrees): 5.1767 5.1767 5.1767 90.00 90.00 90.00
Closest atoms and distances in Å follow each position.
Fractional coordinates of all 5 atoms:
Ba 0.0000 0.0000 0.0000  12 Mo 3.66
Bi 0.5000 0.5000 0.5000  6 Mo 2.59
Mo 0.0000 0.5000 0.5000  2 Bi 2.59
Mo 0.5000 0.0000 0.5000  2 Bi 2.59
Mo 0.5000 0.5000 0.0000  2 Bi 2.59

***

(6)
A crystal of BaBi2Mo4O16 relaxed with PBEsol. Source: Alexandria via LeMat-Bulk, functional SCAN.

Crystal system   monoclinic
Magnetization   0.00 μB/f.u.
Formation energy (no corrections)   -2118 meV/atom
E_tot   -21.0723 eV per atom
Space-group type   C2/c

Lattice parameters (Å, degrees): 6.9007 6.9007 19.3675 90.64 90.64 134.89
Closest atoms and distances in Å follow each position.
Fractional coordinates of all 46 atoms:
Ba 0.0325 0.9675 0.7500  8 O 2.69-2.96
Ba 0.9675 0.0325 0.2500  8 O 2.69-2.96
Bi 0.1470 0.8495 0.5355  8 O 2.32-2.56
Bi 0.1505 0.8530 0.9645  8 O 2.32-2.56
Bi 0.8495 0.1470 0.0355  8 O 2.32-2.56
Bi 0.8530 0.1505 0.4645  8 O 2.32-2.56
Mo 0.2527 0.7363 0.1507  4 O 1.72-1.84
Mo 0.2637 0.7473 0.3493  4 O 1.72-1.84
Mo 0.4238 0.5416 0.9079  4 O 1.71-1.84
Mo 0.4584 0.5762 0.5921  4 O 1.71-1.84
Mo 0.5416 0.4238 0.4079  4 O 1.71-1.84
Mo 0.5762 0.4584 0.0921  4 O 1.71-1.84
Mo 0.7363 0.2527 0.6507  4 O 1.72-1.84
Mo 0.7473 0.2637 0.8493  4 O 1.72-1.84
O 0.0095 0.7328 0.1754  1 Mo 1.73
O 0.0799 0.5939 0.4304  1 Mo 1.84
O 0.0891 0.3873 0.1375  1 Mo 1.81
O 0.0948 0.4895 0.2871  1 Mo 1.72
O 0.1736 0.5186 0.9521  1 Mo 1.84
O 0.2179 0.3068 0.3927  1 Mo 1.78
O 0.2463 0.2771 0.5351  1 Mo 1.81
O 0.2672 0.9905 0.3246  1 Mo 1.73
O 0.2771 0.2463 0.0351  1 Mo 1.81
O 0.2923 0.4585 0.6686  1 Mo 1.71
O 0.3068 0.2179 0.8927  1 Mo 1.78
O 0.3873 0.0891 0.6375  1 Mo 1.81
O 0.4061 0.9201 0.0696  1 Mo 1.84
O 0.4585 0.2923 0.1686  1 Mo 1.71
O 0.4814 0.8264 0.5479  1 Mo 1.84
O 0.4895 0.0948 0.7871  1 Mo 1.72
O 0.5105 0.9052 0.2129  1 Mo 1.72
O 0.5186 0.1736 0.4521  1 Mo 1.84
O 0.5415 0.7077 0.8314  1 Mo 1.71
O 0.5939 0.0799 0.9304  1 Mo 1.84
O 0.6127 0.9109 0.3625  1 Mo 1.81
O 0.6932 0.7821 0.1073  1 Mo 1.78
O 0.7077 0.5415 0.3314  1 Mo 1.71
O 0.7229 0.7537 0.9649  1 Mo 1.81
O 0.7328 0.0095 0.6754  1 Mo 1.73
O 0.7537 0.7229 0.4649  1 Mo 1.81
O 0.7821 0.6932 0.6073  1 Mo 1.78
O 0.8264 0.4814 0.0479  1 Mo 1.84
O 0.9052 0.5105 0.7129  1 Mo 1.72
O 0.9109 0.6127 0.8625  1 Mo 1.81
O 0.9201 0.4061 0.5696  1 Mo 1.84
O 0.9905 0.2672 0.8246  1 Mo 1.73

***

(7)
A crystal of BaBiSe2N relaxed with PBEsol. Source: Alexandria via LeMat-Bulk, functional SCAN.

Crystal system   tetragonal
Magnetization   1.39 μB/f.u.
Formation energy (no corrections)   -255 meV/atom
E_tot   -33.7706 eV per atom
Space-group type   P4/mmm

Lattice parameters (Å, degrees): 5.5513 5.5513 4.4142 90.00 90.00 90.00
Closest atoms and distances in Å follow each position.
Fractional coordinates of all 5 atoms:
Ba 0.0000 0.0000 0.0000  8 Se 3.55, 4 N 3.93
Bi 0.5000 0.5000 0.5000  2 N 2.21
Se 0.0000 0.5000 0.5000  2 Bi 2.78
Se 0.5000 0.0000 0.5000  2 Bi 2.78
N 0.5000 0.5000 0.0000  2 Bi 2.21

***

(8)
A crystal of BaBiTe2N relaxed with PBEsol. Source: Alexandria via LeMat-Bulk, functional SCAN.

Crystal system   tetragonal
Magnetization   1.35 μB/f.u.
Formation energy (no corrections)   916 meV/atom
E_tot   -39.4688 eV per atom
Space-group type   P4/mmm

Lattice parameters (Å, degrees): 6.3180 6.3180 4.3924 90.00 90.00 90.00
Closest atoms and distances in Å follow each position.
Fractional coordinates of all 5 atoms:
Ba 0.0000 0.0000 0.0000  2 N 2.20
Bi 0.5000 0.5000 0.5000  8 Te 3.85
Te 0.0000 0.5000 0.0000  2 Ba 3.16
Te 0.5000 0.0000 0.0000  2 Ba 3.16
N 0.0000 0.0000 0.5000  2 Ba 2.20